# LiIr2Rh (meta-GGA SCAN, PBEsol geometry)
# DOS(E_F) = 2.38 states/eV/cell
# formation energy from the elements = -0.019 eV/atom
data_LiIr2Rh
_chemical_formula_sum 'Li1 Ir2 Rh1'
_symmetry_space_group_name_H-M 'P 4 m m'
_symmetry_Int_Tables_number 99
_symmetry_space_group_name_Hall 'P 4 -2'
_cell_length_a 2.7174
_cell_length_b 2.7174
_cell_length_c 7.1561
_cell_angle_alpha 90.00
_cell_angle_beta 90.00
_cell_angle_gamma 90.00
loop_
_atom_site_label
_atom_site_fract_x
_atom_site_fract_y
_atom_site_fract_z
Li1 0.0000 0.0000 0.0000
Ir1 0.0000 0.0000 0.4973
Ir2 0.5000 0.5000 0.7537
Rh1 0.5000 0.5000 0.2409

# LiIr2Rh (meta-GGA SCAN, PBEsol geometry)
# DOS(E_F) = 4.75 states/eV/cell
# formation energy from the elements = -0.021 eV/atom
data_LiIr2Rh
_chemical_formula_sum 'Li1 Ir2 Rh1'
_symmetry_space_group_name_H-M 'P 4/m m m'
_symmetry_Int_Tables_number 123
_symmetry_space_group_name_Hall '-P 4 2'
_cell_length_a 3.6838
_cell_length_b 3.6838
_cell_length_c 3.9097
_cell_angle_alpha 90.00
_cell_angle_beta 90.00
_cell_angle_gamma 90.00
loop_
_atom_site_label
_atom_site_fract_x
_atom_site_fract_y
_atom_site_fract_z
Li1 0.0000 0.0000 0.0000
Ir1 0.0000 0.5000 0.5000
Rh1 0.5000 0.5000 0.0000

# LiIr2Rh (meta-GGA SCAN, PBEsol geometry)
# DOS(E_F) = 4.40 states/eV/cell
# formation energy from the elements = 0.122 eV/atom
data_LiIr2Rh
_chemical_formula_sum 'Li1 Ir2 Rh1'
_symmetry_space_group_name_H-M 'P 4/m m m'
_symmetry_Int_Tables_number 123
_symmetry_space_group_name_Hall '-P 4 2'
_cell_length_a 4.3823
_cell_length_b 4.3823
_cell_length_c 2.7676
_cell_angle_alpha 90.00
_cell_angle_beta 90.00
_cell_angle_gamma 90.00
loop_
_atom_site_label
_atom_site_fract_x
_atom_site_fract_y
_atom_site_fract_z
Li1 0.0000 0.0000 0.0000
Ir1 0.0000 0.5000 0.5000
Rh1 0.5000 0.5000 0.0000

# LiIr2Rh (meta-GGA SCAN, PBEsol geometry)
# DOS(E_F) = 10.07 states/eV/cell
# formation energy from the elements = 0.067 eV/atom
data_LiIr2Rh
_chemical_formula_sum 'Li2 Ir4 Rh2'
_symmetry_space_group_name_H-M 'C m m m'
_symmetry_Int_Tables_number 65
_symmetry_space_group_name_Hall '-C 2 2'
_cell_length_a 2.6735
_cell_length_b 4.5776
_cell_length_c 9.0329
_cell_angle_alpha 90.00
_cell_angle_beta 90.00
_cell_angle_gamma 90.00
loop_
_atom_site_label
_atom_site_fract_x
_atom_site_fract_y
_atom_site_fract_z
Li1 0.0000 0.0000 0.0000
Ir1 0.0000 0.5000 0.2468
Rh1 0.0000 0.0000 0.5000

# LiIr2Rh (meta-GGA SCAN, PBEsol geometry)
# DOS(E_F) = 6.41 states/eV/cell
# formation energy from the elements = -0.146 eV/atom
data_LiIr2Rh
_chemical_formula_sum 'Li2 Ir4 Rh2'
_symmetry_space_group_name_H-M 'C 1 m 1'
_symmetry_Int_Tables_number 8
_symmetry_space_group_name_Hall 'C -2y'
_cell_length_a 8.8392
_cell_length_b 2.6708
_cell_length_c 4.5846
_cell_angle_alpha 90.00
_cell_angle_beta 98.57
_cell_angle_gamma 90.00
loop_
_atom_site_label
_atom_site_fract_x
_atom_site_fract_y
_atom_site_fract_z
Li1 0.0000 0.0000 0.0000
Ir1 0.0026 0.5000 0.4956
Ir2 0.2593 0.5000 0.2848
Rh1 0.2431 0.0000 0.7846

# LiIrRu2 (meta-GGA SCAN, PBEsol geometry)
# DOS(E_F) = 3.37 states/eV/cell
# formation energy from the elements = 0.131 eV/atom
data_LiIrRu2
_chemical_formula_sum 'Li1 Ir1 Ru2'
_symmetry_space_group_name_H-M 'P 4 m m'
_symmetry_Int_Tables_number 99
_symmetry_space_group_name_Hall 'P 4 -2'
_cell_length_a 2.7369
_cell_length_b 2.7369
_cell_length_c 6.7926
_cell_angle_alpha 90.00
_cell_angle_beta 90.00
_cell_angle_gamma 90.00
loop_
_atom_site_label
_atom_site_fract_x
_atom_site_fract_y
_atom_site_fract_z
Li1 0.0000 0.0000 0.0000
Ir1 0.5000 0.5000 0.7663
Ru1 0.0000 0.0000 0.4970
Ru2 0.5000 0.5000 0.2424